[1]
Density functional theory data (GGA-PBE) for MgHg2Te after structural relaxation.

Lattice parameters (Å, degrees): 4.0147 4.0147 8.6324 90.00 90.00 90.00
Last column: nearest neighbours and their distance in Å.
Fractional coordinates of all 4 atoms:
1 Mg 0.0000 0.0000 0.0000  4 Te 2.87, 1 Hg 2.88
2 Hg 0.0000 0.0000 0.3338  1 Mg 2.88
3 Hg 0.5000 0.5000 0.5401  4 Hg 3.35, 1 Te 3.52
4 Te 0.5000 0.5000 0.9481  4 Mg 2.87

Summary:
As for the crystal system: tetragonal.

=====

[2]
Density functional theory data (GGA-PBE) for LaMo2Os after structural relaxation.

Lattice parameters (Å, degrees): 5.4775 5.4775 2.8961 99.52 99.52 118.32
Last column: nearest neighbours and their distance in Å.
Fractional coordinates of all 4 atoms:
1 La 0.0000 0.0000 0.0000  2 Os 2.81, 4 Mo 2.88, 2 La 2.90
2 Mo 0.0000 0.5000 0.5000  4 Mo 2.81-2.90, 2 La 2.88, 2 Os 2.88
3 Mo 0.5000 0.0000 0.5000  4 Mo 2.81-2.90, 2 La 2.88, 2 Os 2.88
4 Os 0.5000 0.5000 0.0000  2 La 2.81, 4 Mo 2.88, 2 Os 2.90

Summary:
As for the crystal system: monoclinic. The value obtained for the calculated formation energy is 0.599 eV per atom.

=====

[3]
Density functional theory data (GGA-PBE) for CoWAu2 after structural relaxation.

Lattice parameters (Å, degrees): 2.7954 4.7140 4.8714 90.00 90.00 90.00
Last column: nearest neighbours and their distance in Å.
Fractional coordinates of all 4 atoms:
1 Co 0.0000 0.0000 0.0000  4 W 2.74, 2 Co 2.80, 4 Au 2.81
2 W 0.5000 0.5000 0.0000  4 Co 2.74, 2 W 2.80, 4 Au 2.81
3 Au 0.0000 0.5000 0.5000  6 Au 2.74-2.80, 4 W 2.81
4 Au 0.5000 0.0000 0.5000  6 Au 2.74-2.80, 4 Co 2.81

Summary:
As for the crystal system: orthorhombic. The value obtained for the calculated formation energy is 0.565 eV per atom.

=====

[4]
Density functional theory data (GGA-PBE) for PrCdSb after structural relaxation.

Lattice parameters (Å, degrees): 5.4038 5.4105 8.7416 73.27 73.13 62.76
Last column: nearest neighbours and their distance in Å.
Fractional coordinates of all 6 atoms:
1 Pr 0.2366 0.2122 0.3145  4 Sb 3.16-3.19, 1 Cd 3.22
2 Pr 0.7634 0.7878 0.6855  4 Sb 3.16-3.19, 1 Cd 3.22
3 Cd 0.2078 0.6258 0.9653  2 Sb 2.95-3.26, 2 Cd 2.97-2.98, 1 Pr 3.22
4 Cd 0.7922 0.3742 0.0347  2 Sb 2.95-3.26, 2 Cd 2.97-2.98, 1 Pr 3.22
5 Sb 0.1033 0.1224 0.6997  2 Cd 2.95-3.26, 4 Pr 3.16-3.19
6 Sb 0.8967 0.8776 0.3003  2 Cd 2.95-3.26, 4 Pr 3.16-3.19

Summary:
As for the crystal system: triclinic.

=====

[5]
Density functional theory data (GGA-PBE) for Rb2HfNp2Te6 after structural relaxation.

Lattice parameters (Å, degrees): 7.5649 7.5649 9.1808 98.31 98.31 119.71
Last column: nearest neighbours and their distance in Å.
Fractional coordinates of all 11 atoms:
1 Rb 0.1712 0.8288 0.0000  6 Te 3.66-3.72
2 Rb 0.8288 0.1712 0.0000  6 Te 3.66-3.72
3 Hf 0.0000 0.0000 0.5000  6 Te 2.93-2.94
4 Np 0.3322 0.6679 0.5000  6 Te 3.12
5 Np 0.6679 0.3322 0.5000  6 Te 3.12
6 Te 0.0715 0.3836 0.6964  1 Hf 2.93, 2 Np 3.12
7 Te 0.2477 0.2477 0.3059  1 Hf 2.94, 2 Np 3.12
8 Te 0.3836 0.0715 0.6964  1 Hf 2.93, 2 Np 3.12
9 Te 0.6164 0.9285 0.3036  1 Hf 2.93, 2 Np 3.12
10 Te 0.7523 0.7523 0.6941  1 Hf 2.94, 2 Np 3.12
11 Te 0.9285 0.6164 0.3036  1 Hf 2.93, 2 Np 3.12

Summary:
As for the crystal system: monoclinic.

=====

[6]
Density functional theory data (GGA-PBE) for Pr2ZnGa2Rh5 after structural relaxation.

Lattice parameters (Å, degrees): 9.9779 9.9779 3.5507 90.00 90.00 90.00
Last column: nearest neighbours and their distance in Å.
Fractional coordinates of all 20 atoms:
1 Pr 0.1750 0.3250 0.0000  3 Ga 2.83-3.03, 6 Rh 3.04-3.16
2 Pr 0.3250 0.8250 0.0000  3 Ga 2.83-3.03, 6 Rh 3.04-3.16
3 Pr 0.6750 0.1750 0.0000  3 Ga 2.83-3.03, 6 Rh 3.04-3.16
4 Pr 0.8250 0.6750 0.0000  3 Ga 2.83-3.03, 6 Rh 3.04-3.16
5 Zn 0.0000 0.0000 0.0000  8 Rh 2.77
6 Zn 0.5000 0.5000 0.0000  8 Rh 2.77
7 Ga 0.1243 0.6243 0.0000  6 Rh 2.50-2.54
8 Ga 0.3757 0.1243 0.0000  6 Rh 2.50-2.54
9 Ga 0.6243 0.8757 0.0000  6 Rh 2.50-2.54
10 Ga 0.8757 0.3757 0.0000  6 Rh 2.50-2.54
11 Rh 0.0000 0.5000 0.5000  4 Ga 2.50
12 Rh 0.0642 0.7964 0.5000  2 Ga 2.54, 2 Zn 2.77
13 Rh 0.2036 0.0642 0.5000  2 Ga 2.54, 2 Zn 2.77
14 Rh 0.2964 0.5642 0.5000  2 Ga 2.54, 2 Zn 2.77
15 Rh 0.4358 0.2964 0.5000  2 Ga 2.54, 2 Zn 2.77
16 Rh 0.5000 0.0000 0.5000  4 Ga 2.50
17 Rh 0.5642 0.7036 0.5000  2 Ga 2.54, 2 Zn 2.77
18 Rh 0.7036 0.4358 0.5000  2 Ga 2.54, 2 Zn 2.77
19 Rh 0.7964 0.9358 0.5000  2 Ga 2.54, 2 Zn 2.77
20 Rh 0.9358 0.2036 0.5000  2 Ga 2.54, 2 Zn 2.77

Summary:
As for the crystal system: tetragonal. The value obtained for the calculated formation energy is -0.622 eV per atom.

=====

Number 1: final energy -6.38 eV/f.u.. Number 2: final energy -35.42 eV/f.u.. Number 3: final energy -24.35 eV/f.u.. Number 4: final energy -11.38 eV/f.u.. Number 5: final energy -66.01 eV/f.u.. Number 6: final energy -59.86 eV/f.u..